Version a
BaNiIO2, relaxed, DFT GGA+U; space group = No. 123; Fermi-level density of states = 1.376 states/eV/f.u.; ρ = 4.0 g cm⁻³
1.0
4.476 0.000 0.000
0.000 4.476 0.000
0.000 0.000 7.437
Ba Ni I O
1 1 1 2
Cartesian
0.000 0.000 0.000 Ba
2.238 2.238 3.719 Ni
0.000 0.000 3.719 I
0.000 2.238 0.000 O
2.238 0.000 0.000 O

Version b
BaNiIO2, relaxed, DFT GGA+U; space group = No. 123; Fermi-level density of states = 1.944 states/eV/f.u.; ρ = 5.5 g cm⁻³
1.0
4.530 0.000 0.000
0.000 4.530 0.000
0.000 0.000 5.176
Ba Ni I O
1 1 1 2
Cartesian
0.000 0.000 0.000 Ba
2.265 2.265 2.588 Ni
2.265 2.265 0.000 I
0.000 2.265 2.588 O
2.265 0.000 2.588 O

Order of stability, best first: version b, version a